Entry 1:
The following is a DFT calculation (GGA-PBE) of a geometry-optimized ZrRhW2Br structure. Values from VASP.

Values from the calculation:
- uncorrected formation energy (eV per atom) = 1.6780
- magnetic moment (μB per atom) = 0.0000
- total DFT energy (no corrections) (eV/cell) = -35.09

```
&SYSTEM
  ibrav = 0, nat = 5, ntyp = 4
/
ATOMIC_SPECIES
Zr 91.22 Zr.upf
Rh 102.91 Rh.upf
W 183.84 W.upf
Br 79.90 Br.upf
ATOMIC_POSITIONS crystal
Zr 0.000 0.000 0.000
Rh 0.500 0.500 0.000
W 0.000 0.500 0.500
W 0.500 0.000 0.500
Br 0.000 0.000 0.500
CELL_PARAMETERS angstrom
4.563 0.000 0.000
0.000 4.563 0.000
0.000 0.000 4.867
```



Entry 2:
The following is a DFT calculation (GGA-PBE) of a geometry-optimized SrSnGe structure. Values from VASP.

Values from the calculation:
- formation energy (eV per atom) = -0.381
- magnetic moment (μB per atom) = 0.0000
- total DFT energy (no corrections) (eV/cell) = -22.89

```
&SYSTEM
  ibrav = 0, nat = 6, ntyp = 3
/
ATOMIC_SPECIES
Sr 87.62 Sr.upf
Sn 118.71 Sn.upf
Ge 72.64 Ge.upf
ATOMIC_POSITIONS crystal
Sr 0.174 0.000 0.277
Sr 0.826 0.000 0.723
Sn 0.323 0.500 0.639
Sn 0.677 0.500 0.361
Ge 0.333 0.000 0.874
Ge 0.667 0.000 0.126
CELL_PARAMETERS angstrom
6.178 0.000 0.000
0.000 4.302 0.000
-0.641 0.000 7.178
```



Entry 3:
The following is a DFT calculation (GGA-PBE) of a geometry-optimized LiMg12In7 structure. Values from VASP.

Values from the calculation:
- formation energy (eV per atom) = -0.038
- magnetic moment (μB per atom) = 0.0000
- total DFT energy (no corrections) (eV/cell) = -40.97

```
&SYSTEM
  ibrav = 0, nat = 20, ntyp = 3
/
ATOMIC_SPECIES
Li 6.94 Li.upf
Mg 24.30 Mg.upf
In 114.82 In.upf
ATOMIC_POSITIONS crystal
Li 0.000 0.000 0.000
Mg 0.038 0.300 0.410
Mg 0.227 0.663 0.370
Mg 0.300 0.410 0.038
Mg 0.337 0.630 0.773
Mg 0.370 0.227 0.663
Mg 0.410 0.038 0.300
Mg 0.590 0.962 0.700
Mg 0.630 0.773 0.337
Mg 0.663 0.370 0.227
Mg 0.700 0.590 0.962
Mg 0.773 0.337 0.630
Mg 0.962 0.700 0.590
In 0.022 0.899 0.319
In 0.101 0.681 0.978
In 0.319 0.022 0.899
In 0.500 0.500 0.500
In 0.681 0.978 0.101
In 0.899 0.319 0.022
In 0.978 0.101 0.681
CELL_PARAMETERS angstrom
6.577 3.797 3.163
-6.577 3.797 3.163
0.000 -7.594 3.163
```



Entry 4:
The following is a DFT calculation (GGA-PBE) of a geometry-optimized Rb2ZrTeBr6 structure. Values from VASP.

Values from the calculation:
- uncorrected formation energy (eV per atom) = -1.1393
- magnetic moment (μB per atom) = 0.2000
- total DFT energy (no corrections) (eV/cell) = -35.06

```
&SYSTEM
  ibrav = 0, nat = 10, ntyp = 4
/
ATOMIC_SPECIES
Rb 85.47 Rb.upf
Zr 91.22 Zr.upf
Te 127.60 Te.upf
Br 79.90 Br.upf
ATOMIC_POSITIONS crystal
Rb 0.250 0.750 0.500
Rb 0.750 0.250 0.500
Zr 0.000 0.000 0.000
Te 0.500 0.500 0.000
Br 0.208 0.208 0.000
Br 0.223 0.223 0.446
Br 0.223 0.777 0.000
Br 0.777 0.223 0.000
Br 0.777 0.777 0.554
Br 0.792 0.792 0.000
CELL_PARAMETERS angstrom
-4.212 4.212 6.394
4.212 -4.212 6.394
4.212 4.212 -6.394
```



Entry 5:
The following is a DFT calculation (GGA-PBE) of a geometry-optimized CdOsAu2 structure. Values from VASP.

Values from the calculation:
- formation energy (eV per atom) = 0.487
- magnetic moment (μB per atom) = 0.0000
- total DFT energy (no corrections) (eV/cell) = -16.75

```
&SYSTEM
  ibrav = 0, nat = 4, ntyp = 3
/
ATOMIC_SPECIES
Cd 112.41 Cd.upf
Os 190.23 Os.upf
Au 196.97 Au.upf
ATOMIC_POSITIONS crystal
Cd 0.000 0.000 0.000
Os 0.500 0.500 0.000
Au 0.266 0.766 0.500
Au 0.734 0.234 0.500
CELL_PARAMETERS angstrom
-1.390 2.529 5.143
1.390 -2.529 5.143
1.390 2.529 -5.143
```



Entry 6:
The following is a DFT calculation (GGA-PBE) of a geometry-optimized NaMnCu2 structure. Values from VASP.

Values from the calculation:
- E above lowest polymorph (meV per atom) = 234.5
- formation energy (eV per atom) = 0.674
- magnetic moment (μB per atom) = 1.0753
- total DFT energy (no corrections) (eV/cell) = -31.97

```
&SYSTEM
  ibrav = 0, nat = 8, ntyp = 3
/
ATOMIC_SPECIES
Na 22.99 Na.upf
Mn 54.94 Mn.upf
Cu 63.55 Cu.upf
ATOMIC_POSITIONS crystal
Na 0.375 0.625 0.750
Na 0.625 0.375 0.250
Mn 0.125 0.875 0.250
Mn 0.875 0.125 0.750
Cu 0.000 0.000 0.000
Cu 0.000 0.000 0.500
Cu 0.000 0.500 0.000
Cu 0.500 0.000 0.500
CELL_PARAMETERS angstrom
-2.339 2.339 8.568
2.339 -2.339 8.568
2.339 2.339 -8.568
```



Entry 7:
The following is a DFT calculation (GGA-PBE) of a geometry-optimized NdTm5Cu6 structure. Values from VASP.

Values from the calculation:
- formation energy (eV per atom) = -0.264
- magnetic moment (μB per atom) = 0.0000
- total DFT energy (no corrections) (eV/cell) = -54.88

```
&SYSTEM
  ibrav = 0, nat = 12, ntyp = 3
/
ATOMIC_SPECIES
Nd 144.24 Nd.upf
Tm 168.93 Tm.upf
Cu 63.55 Cu.upf
ATOMIC_POSITIONS crystal
Nd 0.000 0.000 0.000
Tm 0.000 0.000 0.500
Tm 0.331 0.669 0.000
Tm 0.334 0.666 0.500
Tm 0.666 0.334 0.500
Tm 0.669 0.331 0.000
Cu 0.171 0.829 0.255
Cu 0.171 0.829 0.745
Cu 0.500 0.500 0.264
Cu 0.500 0.500 0.736
Cu 0.829 0.171 0.255
Cu 0.829 0.171 0.745
CELL_PARAMETERS angstrom
2.442 -7.351 0.000
2.442 7.351 0.000
0.000 0.000 6.847
```



Entry 8:
The following is a DFT calculation (GGA-PBE) of a geometry-optimized AcLa3Co structure. Values from VASP.

Values from the calculation:
- E above lowest polymorph (meV per atom) = 94.7
- formation energy (eV per atom) = 0.004
- magnetic moment (μB per atom) = 0.2012
- total DFT energy (no corrections) (eV/cell) = -25.98

```
&SYSTEM
  ibrav = 0, nat = 5, ntyp = 3
/
ATOMIC_SPECIES
Ac 227.00 Ac.upf
La 138.91 La.upf
Co 58.93 Co.upf
ATOMIC_POSITIONS crystal
Ac 0.000 0.000 0.000
La 0.000 0.500 0.500
La 0.500 0.000 0.500
La 0.500 0.500 0.000
Co 0.500 0.500 0.500
CELL_PARAMETERS angstrom
5.587 0.000 0.000
0.000 5.587 0.000
0.000 0.000 5.587
```



Entry 9:
The following is a DFT calculation (GGA-PBE) of a geometry-optimized Mg2CdTe structure. Values from VASP.

Values from the calculation:
- E above lowest polymorph (meV per atom) = 43.7
- uncorrected formation energy (eV per atom) = -0.2343
- magnetic moment (μB per atom) = 0.0000
- total DFT energy (no corrections) (eV/cell) = -8.18

```
&SYSTEM
  ibrav = 0, nat = 4, ntyp = 3
/
ATOMIC_SPECIES
Mg 24.30 Mg.upf
Cd 112.41 Cd.upf
Te 127.60 Te.upf
ATOMIC_POSITIONS crystal
Mg 0.003 0.000 0.245
Mg 0.997 0.000 0.755
Cd 0.500 0.500 0.000
Te 0.500 0.500 0.500
CELL_PARAMETERS angstrom
3.819 0.000 0.000
0.000 3.826 0.000
-0.046 0.000 6.552
```



Entry 10:
The following is a DFT calculation (GGA-PBE) of a geometry-optimized RbTe2I8 structure. Values from VASP.

Values from the calculation:
- E above lowest polymorph (meV per atom) = 46.8
- uncorrected formation energy (eV per atom) = -0.2312
- magnetic moment (μB per atom) = 0.0000
- total DFT energy (no corrections) (eV/cell) = -22.19

```
&SYSTEM
  ibrav = 0, nat = 11, ntyp = 3
/
ATOMIC_SPECIES
Rb 85.47 Rb.upf
Te 127.60 Te.upf
I 126.90 I.upf
ATOMIC_POSITIONS crystal
Rb 0.000 0.000 0.000
Te 0.333 0.667 0.264
Te 0.667 0.333 0.736
I 0.178 0.361 0.280
I 0.184 0.822 0.280
I 0.333 0.667 0.771
I 0.361 0.184 0.720
I 0.639 0.816 0.280
I 0.667 0.333 0.229
I 0.816 0.178 0.720
I 0.822 0.639 0.720
CELL_PARAMETERS angstrom
10.856 0.000 0.000
-5.428 9.402 0.000
0.000 0.000 6.212
```



Entry 11:
The following is a DFT calculation (GGA-PBE) of a geometry-optimized PmDy6Th4 structure. Values from VASP.

Values from the calculation:
- E above lowest polymorph (meV per atom) = 0.0
- formation energy (eV per atom) = 0.172
- magnetic moment (μB per atom) = 0.0000
- total DFT energy (no corrections) (eV/cell) = -60.15

```
&SYSTEM
  ibrav = 0, nat = 11, ntyp = 3
/
ATOMIC_SPECIES
Pm 145.00 Pm.upf
Dy 162.50 Dy.upf
Th 232.04 Th.upf
ATOMIC_POSITIONS crystal
Pm 0.000 0.000 0.000
Dy 0.097 0.597 0.500
Dy 0.267 0.767 0.500
Dy 0.369 0.869 0.500
Dy 0.631 0.131 0.500
Dy 0.733 0.233 0.500
Dy 0.903 0.403 0.500
Th 0.182 0.182 0.000
Th 0.456 0.456 0.000
Th 0.544 0.544 0.000
Th 0.818 0.818 0.000
CELL_PARAMETERS angstrom
-1.719 2.939 17.865
1.719 -2.939 17.865
1.719 2.939 -17.865
```



Entry 12:
The following is a DFT calculation (GGA-PBE) of a geometry-optimized Ti2CrInH structure. Values from VASP.

Values from the calculation:
- magnetic moment (μB per atom) = 0.0006
- total DFT energy (no corrections) (eV/cell) = -32.09

```
&SYSTEM
  ibrav = 0, nat = 5, ntyp = 4
/
ATOMIC_SPECIES
Ti 47.87 Ti.upf
Cr 52.00 Cr.upf
In 114.82 In.upf
H 1.01 H.upf
ATOMIC_POSITIONS crystal
Ti 0.000 0.500 0.000
Ti 0.500 0.000 0.000
Cr 0.000 0.000 0.500
In 0.500 0.500 0.500
H 0.000 0.000 0.000
CELL_PARAMETERS angstrom
4.326 0.000 0.000
0.000 4.326 0.000
0.000 0.000 3.583
```